No. 1
Y2AgSe: relaxed, PBE.

POSCAR file:
```
Y2AgSe
1.0
7.324 0.000 0.000
0.000 7.324 0.000
0.000 0.000 7.324
Y Ag Se
8 4 4
direct
0.000 0.000 0.000
0.000 0.500 0.500
0.250 0.250 0.250
0.250 0.750 0.750
0.500 0.000 0.500
0.500 0.500 0.000
0.750 0.250 0.750
0.750 0.750 0.250
0.000 0.000 0.500
0.000 0.500 0.000
0.500 0.000 0.000
0.500 0.500 0.500
0.250 0.250 0.750
0.250 0.750 0.250
0.750 0.250 0.250
0.750 0.750 0.750
```

No. 2
YAgSe2: relaxed, PBE.

POSCAR file:
```
YAgSe2
1.0
7.062 0.000 0.000
0.000 7.062 0.000
0.000 0.000 7.062
Y Ag Se
4 4 8
direct
0.000 0.000 0.000
0.000 0.500 0.500
0.500 0.000 0.500
0.500 0.500 0.000
0.250 0.250 0.750
0.250 0.750 0.250
0.750 0.250 0.250
0.750 0.750 0.750
0.000 0.000 0.500
0.000 0.500 0.000
0.250 0.250 0.250
0.250 0.750 0.750
0.500 0.000 0.000
0.500 0.500 0.500
0.750 0.250 0.750
0.750 0.750 0.250
```

No. 3
Y2AgSe: relaxed, PBE.

POSCAR file:
```
Y2AgSe
1.0
3.938 0.000 0.000
-1.969 3.410 0.000
0.000 0.000 23.159
Y Ag Se
6 3 3
direct
0.000 0.000 0.000
0.000 0.000 0.165
0.333 0.667 0.667
0.333 0.667 0.832
0.667 0.333 0.333
0.667 0.333 0.498
0.000 0.000 0.582
0.333 0.667 0.248
0.667 0.333 0.915
0.000 0.000 0.751
0.333 0.667 0.417
0.667 0.333 0.084
```

No. 4
YAgSe: relaxed, PBE.

POSCAR file:
```
YAgSe
1.0
6.714 0.000 0.000
0.000 6.714 0.000
0.000 0.000 6.714
Y Ag Se
4 4 4
direct
0.000 0.000 0.000
0.000 0.500 0.500
0.500 0.000 0.500
0.500 0.500 0.000
0.000 0.000 0.500
0.000 0.500 0.000
0.500 0.000 0.000
0.500 0.500 0.500
0.250 0.250 0.750
0.250 0.750 0.250
0.750 0.250 0.250
0.750 0.750 0.750
```

Calculated values
Energy relative to the lowest polymorph listed for this composition = 0.472 eV/atom

No. 5
Y6AgSe5: relaxed, PBE.

POSCAR file:
```
Y6AgSe5
1.0
3.559 -6.179 0.000
3.559 6.179 0.000
-2.388 0.000 6.699
Y Ag Se
6 1 5
direct
0.081 0.418 0.750
0.248 0.248 0.251
0.418 0.081 0.750
0.582 0.919 0.250
0.752 0.752 0.749
0.919 0.582 0.250
0.500 0.500 0.000
0.000 0.000 0.500
0.165 0.835 0.000
0.332 0.668 0.500
0.668 0.332 0.500
0.835 0.165 0.000
```

No. 6
Y2AgSe: relaxed, PBE.

POSCAR file:
```
Y2AgSe
1.0
4.152 0.000 0.000
0.000 4.152 0.000
0.000 0.000 5.970
Y Ag Se
2 1 1
direct
0.000 0.000 0.000
0.500 0.500 0.500
0.000 0.000 0.500
0.500 0.500 0.000
```

No. 7
Y3AgSe: relaxed, PBE.

POSCAR file:
```
Y3AgSe
1.0
5.334 0.000 0.000
0.000 5.334 0.000
0.000 0.000 5.334
Y Ag Se
3 1 1
direct
0.000 0.000 0.500
0.000 0.500 0.000
0.500 0.000 0.000
0.500 0.500 0.500
0.000 0.000 0.000
```

Calculated values
Energy relative to the lowest polymorph listed for this composition = 0.424 eV/atom

No. 8
Y2AgSe4: relaxed, PBE.

POSCAR file:
```
Y2AgSe4
1.0
6.955 0.000 0.000
0.000 5.663 0.000
-1.441 0.000 8.767
Y Ag Se
4 2 8
direct
0.158 0.250 0.355
0.240 0.250 0.936
0.760 0.750 0.064
0.842 0.750 0.645
0.353 0.750 0.560
0.647 0.250 0.440
0.023 0.750 0.375
0.096 0.750 0.912
0.449 0.507 0.211
0.449 0.993 0.211
0.551 0.007 0.789
0.551 0.493 0.789
0.904 0.250 0.088
0.977 0.250 0.625
```

Formation energy without anion corrections readings, ordered: -0.007 -0.507 -0.889 -0.525 -1.528 -0.928 -0.386 -1.250 eV per atom